[1]
## Be16Nb2Os (GGA-PBE)

Data for a relaxed Be16Nb2Os crystal.

abc: 5.6644 5.6644 5.6644
angles: 83.58 83.58 83.58
Closest atoms and distances in Å follow each position.
Atoms (fractional coordinates):
Be: 0.9999 0.2904 0.7097  8 Be 2.11-2.32
Be: 0.9999 0.7097 0.2904  8 Be 2.11-2.32
Be: 0.0048 0.0048 0.5003  9 Be 2.11-2.24, 1 Os 2.32
Be: 0.0048 0.5003 0.0048  9 Be 2.11-2.24, 1 Os 2.32
Be: 0.1139 0.1139 0.1139  6 Be 2.24-2.34, 1 Os 2.26
Be: 0.1629 0.6531 0.6531  8 Be 2.15-2.32, 1 Os 2.40
Be: 0.2904 0.9999 0.7097  8 Be 2.11-2.32
Be: 0.2904 0.7097 0.9999  8 Be 2.11-2.32
Be: 0.3516 0.3516 0.8414  9 Be 2.15-2.34
Be: 0.3516 0.8414 0.3516  9 Be 2.15-2.34
Be: 0.5003 0.0048 0.0048  9 Be 2.11-2.24, 1 Os 2.32
Be: 0.6531 0.1629 0.6531  8 Be 2.15-2.32, 1 Os 2.40
Be: 0.6531 0.6531 0.1629  8 Be 2.15-2.32, 1 Os 2.40
Be: 0.7097 0.9999 0.2904  8 Be 2.11-2.32
Be: 0.7097 0.2904 0.9999  8 Be 2.11-2.32
Be: 0.8414 0.3516 0.3516  9 Be 2.15-2.34
Nb: 0.3468 0.3468 0.3468  13 Be 2.53-2.81
Nb: 0.6614 0.6614 0.6614  1 Os 2.65, 18 Be 2.66-2.91
Os: 0.9058 0.9058 0.9058  13 Be 2.26-2.42

Crystal system ... trigonal

***

[2]
## InMo2Ru (GGA-PBE)

Data for a relaxed InMo2Ru crystal.

abc: 2.8427 2.8427 8.8387
angles: 90.00 90.00 110.42
Closest atoms and distances in Å follow each position.
Atoms (fractional coordinates):
In: 0.0000 0.0000 0.0000  2 Ru 2.79, 4 In 2.84, 2 Mo 2.92
Mo: 0.0000 0.0000 0.5126  2 Ru 2.60, 6 Mo 2.66-2.84
Mo: 0.5000 0.5000 0.2742  6 Mo 2.66-2.84, 2 In 2.92
Ru: 0.5000 0.5000 0.7428  2 Mo 2.60, 2 In 2.79, 4 Ru 2.84

Crystal system ... orthorhombic

***

[3]
## PmZrIrRh (GGA-PBE)

Data for a relaxed PmZrIrRh crystal.

abc: 4.8175 4.8175 4.8175
angles: 60.00 60.00 60.00
Closest atoms and distances in Å follow each position.
Atoms (fractional coordinates):
Pm: 0.0000 0.0000 0.0000  4 Rh 2.95, 4 Ir 2.95
Zr: 0.5000 0.5000 0.5000  4 Ir 2.95, 4 Rh 2.95
Ir: 0.7500 0.7500 0.7500  4 Zr 2.95, 4 Pm 2.95
Rh: 0.2500 0.2500 0.2500  4 Zr 2.95, 4 Pm 2.95

Crystal system ... cubic

***

[4]
## CrCdMo2 (GGA-PBE)

Data for a relaxed CrCdMo2 crystal.

abc: 5.2344 5.2344 5.2344
angles: 144.80 129.51 63.04
Closest atoms and distances in Å follow each position.
Atoms (fractional coordinates):
Cr: 0.0000 0.0000 0.0000  4 Mo 2.56, 4 Cd 2.74
Cd: 0.5000 0.5000 0.0000  4 Cr 2.74, 8 Mo 2.92-3.01
Mo: 0.2257 0.7257 0.5000  2 Cr 2.56, 4 Mo 2.77
Mo: 0.7743 0.2743 0.5000  2 Cr 2.56, 4 Mo 2.77

Crystal system ... orthorhombic

***

| no. | size of the total moment (Bohr magnetons per cell) | Fermi-level density of states (states/eV per atom) | ΔE_f (kJ/mol of atoms) |
| --- | --- | --- | --- |
| 1 | 0.00 | 0.402 | -20.2 |
| 2 | 0.01 | 1.030 | 27.4 |
| 3 | 0.00 | 0.683 | -63.1 |
| 4 | 0.00 | 0.662 | 39.7 |